(1)
# TlIn2MoPt, relaxed, DFT PBE
data_TlIn2MoPt
_cell_length_a 5.409
_cell_length_b 5.409
_cell_length_c 5.361
_cell_angle_alpha 90.00
_cell_angle_beta 90.00
_cell_angle_gamma 90.00
_symmetry_space_group_name_H-M 'P 4/m m m'
_symmetry_Int_Tables_number 123
_symmetry_space_group_name_Hall '-P 4 2'
loop_
_atom_site_label
_atom_site_fract_x
_atom_site_fract_y
_atom_site_fract_z
Tl1 0.000 0.000 0.000
In1 0.000 0.500 0.000
Mo1 0.000 0.000 0.500
Pt1 0.500 0.500 0.500
# Crystal system: tetragonal

---

(2)
# In2MoPtW, relaxed, DFT PBE
data_In2MoPtW
_cell_length_a 5.195
_cell_length_b 5.195
_cell_length_c 4.686
_cell_angle_alpha 90.00
_cell_angle_beta 90.00
_cell_angle_gamma 90.00
_symmetry_space_group_name_H-M 'P 4/m m m'
_symmetry_Int_Tables_number 123
_symmetry_space_group_name_Hall '-P 4 2'
loop_
_atom_site_label
_atom_site_fract_x
_atom_site_fract_y
_atom_site_fract_z
In1 0.000 0.500 0.000
Mo1 0.000 0.000 0.000
Pt1 0.500 0.500 0.500
W1 0.000 0.000 0.500
# Crystal system: tetragonal

---

(3)
# PuInMo, relaxed, DFT PBE
data_PuInMo
_cell_length_a 4.962
_cell_length_b 3.407
_cell_length_c 7.300
_cell_angle_alpha 90.00
_cell_angle_beta 104.40
_cell_angle_gamma 90.00
_symmetry_space_group_name_H-M 'P 1 21/m 1'
_symmetry_Int_Tables_number 11
loop_
_symmetry_equiv_pos_as_xyz
'x,y,z'
'-x,-y,-z'
'-x,y+1/2,-z'
'x,-y+1/2,z'
loop_
_atom_site_label
_atom_site_fract_x
_atom_site_fract_y
_atom_site_fract_z
Pu1 0.051 0.250 0.113
In1 0.418 0.250 0.786
Mo1 0.178 0.750 0.470
# Crystal system: monoclinic

---

Number 1: D(E_F) 0.7015 states/eV/atom, total energy -0.1223 Ha/atom. Number 2: D(E_F) 1.0992 states/eV/atom, total energy -0.2059 Ha/atom. Number 3: D(E_F) 1.7701 states/eV/atom, total energy -0.3308 Ha/atom.